SnPdPt | GGA-PBE | relaxed

a b c (Å): 4.379 4.379 4.379
angles (deg): 60.00 60.00 60.00
Atoms (fractional coordinates):
Sn 0.000 0.000 0.000
Pd 0.750 0.750 0.750
Pt 0.250 0.250 0.250

- Space-group type: No. 216
- Final energy: -5.428 eV per atom